12
Lattice="6.927 0.000 0.000 0.000 16.002 0.000 0.000 0.000 3.481" Properties=species:S:1:pos:R:3 comment="TbDy2YTm2 GGA-PBE optimized geometry" dos_ef_per_ev_atom=1.6128 magnetic_moment_mub_per_cell=0.00 delta_e_f_ev_per_fu=1.00 pbc="T T T"
Tb 0.000 0.000 0.000
Tb 3.464 8.001 1.740
Dy 1.731 2.537 1.740
Dy 1.732 10.538 0.000
Dy 5.195 5.464 0.000
Dy 5.196 13.465 1.740
Y 0.000 8.001 1.740
Y 3.464 0.000 0.000
Tm 1.726 13.528 1.740
Tm 1.738 5.527 0.000
Tm 5.189 10.475 0.000
Tm 5.201 2.474 1.740